Version a
! ZnOs3Pb (PBE-GGA, optimized geometry); values from VASP
&SYSTEM
  ibrav = 0, nat = 5, ntyp = 3
/
ATOMIC_SPECIES
Zn 65.41 Zn.upf
Os 190.23 Os.upf
Pb 207.20 Pb.upf
ATOMIC_POSITIONS angstrom
Zn 0.000 0.000 0.000
Os 0.000 0.000 2.282
Os 0.000 2.282 0.000
Os 2.282 0.000 0.000
Pb 2.282 2.282 2.282
CELL_PARAMETERS angstrom
4.565 0.000 0.000
0.000 4.565 0.000
0.000 0.000 4.565
! - Total magnetization: 1.424 μB per formula unit
! - Density: 14725 kg/m³
! - SG: Pm-3m (221)

---

Version b
! ZnOs3Pb (PBE-GGA, optimized geometry); values from VASP
&SYSTEM
  ibrav = 0, nat = 5, ntyp = 3
/
ATOMIC_SPECIES
Zn 65.41 Zn.upf
Os 190.23 Os.upf
Pb 207.20 Pb.upf
ATOMIC_POSITIONS angstrom
Zn 0.000 0.000 0.000
Os 0.000 2.486 2.486
Os 2.486 0.000 2.486
Os 2.486 2.486 0.000
Pb 2.486 2.486 2.486
CELL_PARAMETERS angstrom
4.973 0.000 0.000
0.000 4.973 0.000
0.000 0.000 4.973
! - Total magnetization: 3.991 μB per formula unit
! - Density: 11388 kg/m³
! - SG: Pm-3m (221)

---

Stability order, top to bottom: version a, version b

---

Version a
! ZrOsPb2 (PBE-GGA, optimized geometry); values from VASP
&SYSTEM
  ibrav = 0, nat = 4, ntyp = 3
/
ATOMIC_SPECIES
Zr 91.22 Zr.upf
Os 190.23 Os.upf
Pb 207.20 Pb.upf
ATOMIC_POSITIONS angstrom
Zr 0.000 0.000 0.000
Os 2.075 0.000 2.372
Pb 0.000 2.197 2.372
Pb 2.075 2.197 0.000
CELL_PARAMETERS angstrom
4.149 0.000 0.000
0.000 4.393 0.000
0.000 0.000 4.745
! - Total magnetization: 0.000 μB per formula unit
! - Density: 13361 kg/m³
! - SG: Pmmm (47)

---

Version b
! ZrOsPb2 (PBE-GGA, optimized geometry); values from VASP
&SYSTEM
  ibrav = 0, nat = 16, ntyp = 3
/
ATOMIC_SPECIES
Zr 91.22 Zr.upf
Os 190.23 Os.upf
Pb 207.20 Pb.upf
ATOMIC_POSITIONS angstrom
Zr 0.000 0.000 0.000
Zr 0.000 3.484 3.484
Zr 3.484 0.000 3.484
Zr 3.484 3.484 0.000
Os 0.000 0.000 3.484
Os 0.000 3.484 0.000
Os 3.484 0.000 0.000
Os 3.484 3.484 3.484
Pb 1.742 1.742 1.742
Pb 1.742 1.742 5.227
Pb 1.742 5.227 1.742
Pb 1.742 5.227 5.227
Pb 5.227 1.742 1.742
Pb 5.227 1.742 5.227
Pb 5.227 5.227 1.742
Pb 5.227 5.227 5.227
CELL_PARAMETERS angstrom
6.969 0.000 0.000
0.000 6.969 0.000
0.000 0.000 6.969
! - Total magnetization: 0.077 μB per formula unit
! - Density: 13657 kg/m³
! - SG: Fm-3m (225)

---

Version c
! ZrOsPb2 (PBE-GGA, optimized geometry); values from VASP
&SYSTEM
  ibrav = 0, nat = 4, ntyp = 3
/
ATOMIC_SPECIES
Zr 91.22 Zr.upf
Os 190.23 Os.upf
Pb 207.20 Pb.upf
ATOMIC_POSITIONS angstrom
Zr 0.000 0.000 0.000
Os 2.478 2.478 0.000
Pb 0.000 2.478 1.732
Pb 2.478 0.000 1.732
CELL_PARAMETERS angstrom
4.956 0.000 0.000
0.000 4.956 0.000
0.000 0.000 3.464
! - Total magnetization: 0.000 μB per formula unit
! - Density: 13581 kg/m³
! - SG: P4/mmm (123)

---

Version d
! ZrOsPb2 (PBE-GGA, optimized geometry); values from VASP
&SYSTEM
  ibrav = 0, nat = 8, ntyp = 3
/
ATOMIC_SPECIES
Zr 91.22 Zr.upf
Os 190.23 Os.upf
Pb 207.20 Pb.upf
ATOMIC_POSITIONS angstrom
Zr 0.000 0.000 0.000
Zr 2.163 2.163 4.601
Os 0.000 2.163 6.902
Os 2.163 0.000 2.301
Pb 0.000 0.000 4.601
Pb 0.000 2.163 2.301
Pb 2.163 0.000 6.902
Pb 2.163 2.163 0.000
CELL_PARAMETERS angstrom
4.326 0.000 0.000
0.000 4.326 0.000
0.000 0.000 9.203
! - Total magnetization: 0.000 μB per formula unit
! - Density: 13419 kg/m³
! - SG: I-4m2 (119)

---

Stability order, top to bottom: version d, version a, version b, version c

---

Version a
! OsPd2Pt (PBE-GGA, optimized geometry); values from VASP
&SYSTEM
  ibrav = 0, nat = 16, ntyp = 3
/
ATOMIC_SPECIES
Os 190.23 Os.upf
Pd 106.42 Pd.upf
Pt 195.08 Pt.upf
ATOMIC_POSITIONS angstrom
Os 0.000 0.000 0.000
Os 0.000 3.125 3.125
Os 3.125 0.000 3.125
Os 3.125 3.125 0.000
Pd 1.563 1.563 1.563
Pd 1.563 1.563 4.688
Pd 1.563 4.688 1.563
Pd 1.563 4.688 4.688
Pd 4.688 1.563 1.563
Pd 4.688 1.563 4.688
Pd 4.688 4.688 1.563
Pd 4.688 4.688 4.688
Pt 0.000 0.000 3.125
Pt 0.000 3.125 0.000
Pt 3.125 0.000 0.000
Pt 3.125 3.125 3.125
CELL_PARAMETERS angstrom
6.250 0.000 0.000
0.000 6.250 0.000
0.000 0.000 6.250
! - Total magnetization: 0.000 μB per formula unit
! - Density: 16271 kg/m³
! - SG: Fm-3m (225)

---

Version b
! OsPd2Pt (PBE-GGA, optimized geometry); values from VASP
&SYSTEM
  ibrav = 0, nat = 16, ntyp = 3
/
ATOMIC_SPECIES
Os 190.23 Os.upf
Pd 106.42 Pd.upf
Pt 195.08 Pt.upf
ATOMIC_POSITIONS angstrom
Os 0.000 0.000 0.000
Os 0.000 3.539 1.333
Os 3.539 0.000 3.999
Os 3.539 3.539 2.666
Pd 1.651 1.769 0.667
Pd 1.769 5.190 2.000
Pd 1.769 5.426 4.666
Pd 1.888 1.769 3.333
Pd 5.190 5.308 3.333
Pd 5.308 1.651 4.666
Pd 5.308 1.888 2.000
Pd 5.426 5.308 0.667
Pt 0.000 0.000 2.666
Pt 0.000 3.539 3.999
Pt 3.539 0.000 1.333
Pt 3.539 3.539 0.000
CELL_PARAMETERS angstrom
7.077 0.000 0.000
0.000 7.077 0.000
0.000 0.000 5.332
! - Total magnetization: 0.000 μB per formula unit
! - Density: 14876 kg/m³
! - SG: I-42d (122)

---

Stability order, top to bottom: version a, version b

---

Version a
! OsPdPt (PBE-GGA, optimized geometry); values from VASP
&SYSTEM
  ibrav = 0, nat = 3, ntyp = 3
/
ATOMIC_SPECIES
Os 190.23 Os.upf
Pd 106.42 Pd.upf
Pt 195.08 Pt.upf
ATOMIC_POSITIONS angstrom
Os 0.000 0.000 0.000
Pd 0.000 1.598 4.579
Pt 1.384 0.799 2.209
CELL_PARAMETERS angstrom
2.768 0.000 0.000
-1.384 2.397 0.000
0.000 0.000 6.780
! - Total magnetization: 0.000 μB per formula unit
! - Density: 18155 kg/m³
! - SG: P3m1 (156)

---

Version b
! OsPdPt (PBE-GGA, optimized geometry); values from VASP
&SYSTEM
  ibrav = 0, nat = 6, ntyp = 3
/
ATOMIC_SPECIES
Os 190.23 Os.upf
Pd 106.42 Pd.upf
Pt 195.08 Pt.upf
ATOMIC_POSITIONS angstrom
Os 0.691 1.115 0.167
Os 3.449 5.836 6.217
Pd 0.688 1.774 4.094
Pd 3.453 5.176 2.289
Pt 2.073 4.174 4.550
Pt 2.067 2.777 1.834
CELL_PARAMETERS angstrom
2.763 0.000 0.000
1.376 5.133 0.000
0.002 1.818 6.384
! - Total magnetization: 0.000 μB per formula unit
! - Density: 18040 kg/m³
! - SG: P-1 (2)

---

Stability order, top to bottom: version a, version b

---

Version a
! OsPdPt3 (PBE-GGA, optimized geometry); values from VASP
&SYSTEM
  ibrav = 0, nat = 5, ntyp = 3
/
ATOMIC_SPECIES
Os 190.23 Os.upf
Pd 106.42 Pd.upf
Pt 195.08 Pt.upf
ATOMIC_POSITIONS angstrom
Os 0.000 0.000 0.000
Pd 2.376 2.376 2.376
Pt 0.000 2.376 2.376
Pt 2.376 0.000 2.376
Pt 2.376 2.376 0.000
CELL_PARAMETERS angstrom
4.752 0.000 0.000
0.000 4.752 0.000
0.000 0.000 4.752
! - Total magnetization: 3.510 μB per formula unit
! - Density: 13647 kg/m³
! - SG: Pm-3m (221)

---

Version b
! OsPdPt3 (PBE-GGA, optimized geometry); values from VASP
&SYSTEM
  ibrav = 0, nat = 5, ntyp = 3
/
ATOMIC_SPECIES
Os 190.23 Os.upf
Pd 106.42 Pd.upf
Pt 195.08 Pt.upf
ATOMIC_POSITIONS angstrom
Os 0.000 0.000 0.000
Pd 2.394 2.394 2.394
Pt 0.000 0.000 2.394
Pt 0.000 2.394 0.000
Pt 2.394 0.000 0.000
CELL_PARAMETERS angstrom
4.788 0.000 0.000
0.000 4.788 0.000
0.000 0.000 4.788
! - Total magnetization: 0.000 μB per formula unit
! - Density: 13338 kg/m³
! - SG: Pm-3m (221)

---

Stability order, top to bottom: version b, version a

---

Version a
! Re2OsPd (PBE-GGA, optimized geometry); values from VASP
&SYSTEM
  ibrav = 0, nat = 16, ntyp = 3
/
ATOMIC_SPECIES
Re 186.21 Re.upf
Os 190.23 Os.upf
Pd 106.42 Pd.upf
ATOMIC_POSITIONS angstrom
Re 1.545 1.780 0.663
Re 1.780 5.104 1.989
Re 1.780 5.575 4.641
Re 2.015 1.780 3.315
Re 5.104 5.339 3.315
Re 5.339 1.545 4.641
Re 5.339 2.015 1.989
Re 5.575 5.339 0.663
Os 0.000 0.000 0.000
Os 0.000 3.560 1.326
Os 3.560 0.000 3.978
Os 3.560 3.560 2.652
Pd 0.000 0.000 2.652
Pd 0.000 3.560 3.978
Pd 3.560 0.000 1.326
Pd 3.560 3.560 0.000
CELL_PARAMETERS angstrom
7.119 0.000 0.000
0.000 7.119 0.000
0.000 0.000 5.304
! - Total magnetization: 0.000 μB per formula unit
! - Density: 16531 kg/m³
! - SG: I-42d (122)

---

Version b
! Re2OsPd (PBE-GGA, optimized geometry); values from VASP
&SYSTEM
  ibrav = 0, nat = 16, ntyp = 3
/
ATOMIC_SPECIES
Re 186.21 Re.upf
Os 190.23 Os.upf
Pd 106.42 Pd.upf
ATOMIC_POSITIONS angstrom
Re 1.556 1.556 1.556
Re 1.556 1.556 4.668
Re 1.556 4.668 1.556
Re 1.556 4.668 4.668
Re 4.668 1.556 1.556
Re 4.668 1.556 4.668
Re 4.668 4.668 1.556
Re 4.668 4.668 4.668
Os 0.000 0.000 0.000
Os 0.000 3.112 3.112
Os 3.112 0.000 3.112
Os 3.112 3.112 0.000
Pd 0.000 0.000 3.112
Pd 0.000 3.112 0.000
Pd 3.112 0.000 0.000
Pd 3.112 3.112 3.112
CELL_PARAMETERS angstrom
6.224 0.000 0.000
0.000 6.224 0.000
0.000 0.000 6.224
! - Total magnetization: 0.000 μB per formula unit
! - Density: 18434 kg/m³
! - SG: Fm-3m (225)

---

Stability order, top to bottom: version b, version a

---

Version a
! ReOsPd2 (PBE-GGA, optimized geometry); values from VASP
&SYSTEM
  ibrav = 0, nat = 16, ntyp = 3
/
ATOMIC_SPECIES
Re 186.21 Re.upf
Os 190.23 Os.upf
Pd 106.42 Pd.upf
ATOMIC_POSITIONS angstrom
Re 0.000 0.000 0.000
Re 0.000 2.807 2.783
Re 2.807 0.000 8.348
Re 2.807 2.807 5.565
Os 0.000 0.000 5.565
Os 0.000 2.807 8.348
Os 2.807 0.000 2.783
Os 2.807 2.807 0.000
Pd 1.402 1.403 1.391
Pd 1.405 1.403 6.957
Pd 1.403 4.209 4.174
Pd 1.403 4.212 9.739
Pd 4.210 1.405 4.174
Pd 4.210 1.402 9.739
Pd 4.212 4.210 1.391
Pd 4.209 4.210 6.957
CELL_PARAMETERS angstrom
5.614 0.000 0.000
0.000 5.614 0.000
0.000 0.000 11.131
! - Total magnetization: 0.000 μB per formula unit
! - Density: 11159 kg/m³
! - SG: I-42d (122)

---

Version b
! ReOsPd2 (PBE-GGA, optimized geometry); values from VASP
&SYSTEM
  ibrav = 0, nat = 16, ntyp = 3
/
ATOMIC_SPECIES
Re 186.21 Re.upf
Os 190.23 Os.upf
Pd 106.42 Pd.upf
ATOMIC_POSITIONS angstrom
Re 0.000 0.000 0.000
Re 0.000 3.110 3.110
Re 3.110 0.000 3.110
Re 3.110 3.110 0.000
Os 0.000 0.000 3.110
Os 0.000 3.110 0.000
Os 3.110 0.000 0.000
Os 3.110 3.110 3.110
Pd 1.555 1.555 1.555
Pd 1.555 1.555 4.664
Pd 1.555 4.664 1.555
Pd 1.555 4.664 4.664
Pd 4.664 1.555 1.555
Pd 4.664 1.555 4.664
Pd 4.664 4.664 1.555
Pd 4.664 4.664 4.664
CELL_PARAMETERS angstrom
6.219 0.000 0.000
0.000 6.219 0.000
0.000 0.000 6.219
! - Total magnetization: 0.000 μB per formula unit
! - Density: 16272 kg/m³
! - SG: Fm-3m (225)

---

Stability order, top to bottom: version b, version a

---

Version a
! ReOsPd3 (PBE-GGA, optimized geometry); values from VASP
&SYSTEM
  ibrav = 0, nat = 5, ntyp = 3
/
ATOMIC_SPECIES
Re 186.21 Re.upf
Os 190.23 Os.upf
Pd 106.42 Pd.upf
ATOMIC_POSITIONS angstrom
Re 0.000 0.000 0.000
Os 2.381 2.381 2.381
Pd 0.000 2.381 2.381
Pd 2.381 0.000 2.381
Pd 2.381 2.381 0.000
CELL_PARAMETERS angstrom
4.761 0.000 0.000
0.000 4.761 0.000
0.000 0.000 4.761
! - Total magnetization: 4.048 μB per formula unit
! - Density: 10704 kg/m³
! - SG: Pm-3m (221)

---

Version b
! ReOsPd3 (PBE-GGA, optimized geometry); values from VASP
&SYSTEM
  ibrav = 0, nat = 5, ntyp = 3
/
ATOMIC_SPECIES
Re 186.21 Re.upf
Os 190.23 Os.upf
Pd 106.42 Pd.upf
ATOMIC_POSITIONS angstrom
Re 0.000 0.000 0.000
Os 2.362 2.362 2.362
Pd 0.000 0.000 2.362
Pd 0.000 2.362 0.000
Pd 2.362 0.000 0.000
CELL_PARAMETERS angstrom
4.725 0.000 0.000
0.000 4.725 0.000
0.000 0.000 4.725
! - Total magnetization: 2.348 μB per formula unit
! - Density: 10953 kg/m³
! - SG: Pm-3m (221)

---

Stability order, top to bottom: version b, version a